1.
{
  "formula": "YVAsAu2",
  "functional": "PBE",
  "state": "relaxed",
  "vol_a3_per_atom": 25.34,
  "n_ef_per_ev_cell": 3.59,
  "ef_ev_per_atom": 0.612,
  "lattice_angstrom": [[-2.0764, 4.3285, -0.0457], [-4.8863, -2.3534, -0.8900], [-0.7205, -0.2956, 4.7374]],
  "species": ["Y", "As", "Au", "Au", "V"],
  "frac_coords": [[0.0000, 0.5000, 0.0000], [0.5000, 0.5000, 0.5000], [0.0000, 0.0000, 0.5000], [0.5000, 0.0000, 0.0000], [0.0000, 0.0000, 0.0000]]
}

=====

2.
{
  "formula": "OsRh2O6",
  "functional": "PBE",
  "state": "relaxed",
  "vol_a3_per_atom": 11.41,
  "raw_formation_energy_ev_per_atom": -0.77,
  "n_ef_per_ev_cell": 9.99,
  "lattice_angstrom": [[-4.3379, 1.3926, -2.7458], [-2.5277, -2.2510, 2.8517], [-0.8194, 7.1582, 4.9241]],
  "species": ["Os", "Os", "Rh", "Rh", "Rh", "Rh", "O", "O", "O", "O", "O", "O", "O", "O", "O", "O", "O", "O"],
  "frac_coords": [[0.5000, 0.5000, 0.0000], [0.0000, 0.0000, 0.5000], [0.0000, 0.4999, 0.8180], [0.5000, 0.9999, 0.6820], [0.5000, 0.0001, 0.3180], [0.0000, 0.5001, 0.1820], [0.8330, 0.7656, 0.3408], [0.8330, 0.7654, 0.6592], [0.8280, 0.7096, 0.0000], [0.6720, 0.2096, 0.5000], [0.6670, 0.2654, 0.8408], [0.6670, 0.2656, 0.1592], [0.1670, 0.2344, 0.6592], [0.1670, 0.2346, 0.3408], [0.1720, 0.2904, 0.0000], [0.3280, 0.7904, 0.5000], [0.3330, 0.7346, 0.1592], [0.3330, 0.7344, 0.8408]]
}

=====

3.
{
  "formula": "NaTaP2S8",
  "functional": "PBE",
  "state": "relaxed",
  "vol_a3_per_atom": 23.64,
  "raw_formation_energy_ev_per_atom": -0.43,
  "lattice_angstrom": [[-2.5615, 5.3974, 0.4054], [-4.6990, 1.3513, -3.4570], [-8.0695, -0.9153, 5.4245]],
  "species": ["Na", "Ta", "P", "P", "S", "S", "S", "S", "S", "S", "S", "S"],
  "frac_coords": [[0.5000, 0.5000, 0.5000], [0.0000, 0.0000, 0.0000], [0.2582, 0.2582, 0.2253], [0.7418, 0.7418, 0.7747], [0.1864, 0.1864, 0.4407], [0.6140, 0.2863, 0.1526], [0.8136, 0.8136, 0.5593], [0.9471, 0.6140, 0.1526], [0.0529, 0.3860, 0.8474], [0.2863, 0.9471, 0.1526], [0.7137, 0.0529, 0.8474], [0.3860, 0.7137, 0.8474]]
}

=====

4.
{
  "formula": "Y3CdOs",
  "functional": "PBE",
  "state": "relaxed",
  "vol_a3_per_atom": 25.76,
  "n_ef_per_ev_cell": 7.10,
  "ef_ev_per_atom": -0.286,
  "lattice_angstrom": [[5.7396, 0.1020, -1.1868], [-2.6270, 5.1041, -1.1867], [-0.0388, -0.0656, 8.7425]],
  "species": ["Y", "Y", "Y", "Y", "Y", "Y", "Cd", "Cd", "Os", "Os"],
  "frac_coords": [[0.2988, 0.7988, 0.0975], [0.7012, 0.2012, 0.9025], [0.0789, 0.1997, 0.2785], [0.9211, 0.8003, 0.7215], [0.6997, 0.5789, 0.2786], [0.3003, 0.4211, 0.7214], [0.7083, 0.2083, 0.5000], [0.2917, 0.7917, 0.5000], [0.2500, 0.2500, 0.0000], [0.7500, 0.7500, 0.0000]]
}

=====

Please write out number 3 again, unchanged.
{
  "formula": "NaTaP2S8",
  "functional": "PBE",
  "state": "relaxed",
  "vol_a3_per_atom": 23.64,
  "raw_formation_energy_ev_per_atom": -0.43,
  "lattice_angstrom": [[-2.5615, 5.3974, 0.4054], [-4.6990, 1.3513, -3.4570], [-8.0695, -0.9153, 5.4245]],
  "species": ["Na", "Ta", "P", "P", "S", "S", "S", "S", "S", "S", "S", "S"],
  "frac_coords": [[0.5000, 0.5000, 0.5000], [0.0000, 0.0000, 0.0000], [0.2582, 0.2582, 0.2253], [0.7418, 0.7418, 0.7747], [0.1864, 0.1864, 0.4407], [0.6140, 0.2863, 0.1526], [0.8136, 0.8136, 0.5593], [0.9471, 0.6140, 0.1526], [0.0529, 0.3860, 0.8474], [0.2863, 0.9471, 0.1526], [0.7137, 0.0529, 0.8474], [0.3860, 0.7137, 0.8474]]
}

=====

What is the formula in the second record? OsRh2O6